Below is ZrInSi after structural relaxation, with properties calculated at the GGA-PBEsol level.

The structure in POSCAR format:
```
ZrInSi
1.0
0.000 3.232 3.232
3.232 0.000 3.232
3.232 3.232 0.000
Zr In Si
1 1 1
direct
0.000 0.000 0.000
0.750 0.750 0.750
0.500 0.500 0.500
```

Properties
E_form (uncorrected): 0.556 eV per atom
DFT total energy: -5.3838 eV per atom
Volume: 67.5 Å³/cell